No. 1
An optimized crystal structure of Ga2BF2, computed with GGA-PBE.

a = 3.2860 Å, b = 3.2860 Å, c = 6.1788 Å
α = 74.58°, β = 74.58°, γ = 90.00°
Closest atoms and distances in Å follow each position.
Positions (direct):
F1 0.7500 0.2500 0.5000  4 Ga 2.22, 4 F 2.32
F2 0.2500 0.7500 0.5000  4 Ga 2.22, 4 F 2.32
Ga1 0.6198 0.6198 0.7604  4 F 2.22
Ga2 0.3802 0.3802 0.2396  4 F 2.22
B1 0.0000 0.0000 0.0000  8 Ga 2.70

Properties
The calculation puts the energy relative to the elements, uncorrected at -0.482 eV per atom. As for the crystal system: tetragonal. The space group is No. 139.


No. 2
An optimized crystal structure of GaBF2, computed with GGA-PBE.

a = 5.6312 Å, b = 5.6312 Å, c = 5.6312 Å
α = 121.60°, β = 121.60°, γ = 87.25°
Closest atoms and distances in Å follow each position.
Positions (direct):
F1 0.3750 0.1250 0.7500  2 B 1.71
B1 0.2500 0.7500 0.5000  4 F 1.71
F2 0.3750 0.6250 0.7500  2 B 1.71
Ga1 0.0000 0.0000 0.0000  12 F 3.24-3.35, 4 B 3.42, 4 Ga 3.42
F3 0.3750 0.6250 0.2500  2 B 1.71
B2 0.5000 0.5000 0.0000  4 F 1.71
Ga2 0.7500 0.2500 0.5000  12 F 3.24-3.35, 4 B 3.42, 4 Ga 3.42
F4 0.8750 0.6250 0.2500  2 B 1.71

Properties
The calculation puts the energy relative to the elements, uncorrected at -0.348 eV per atom. As for the crystal system: tetragonal. The space group is No. 141.


No. 3
An optimized crystal structure of GaB2F, computed with GGA-PBE.

a = 3.9198 Å, b = 3.9198 Å, c = 3.9198 Å
α = 60.00°, β = 60.00°, γ = 60.00°
Closest atoms and distances in Å follow each position.
Positions (direct):
B1 0.2500 0.2500 0.2500  4 F 2.40, 4 Ga 2.40
F1 0.0000 0.0000 0.0000  8 B 2.40
Ga1 0.5000 0.5000 0.5000  8 B 2.40
B2 0.7500 0.7500 0.7500  4 F 2.40, 4 Ga 2.40

Properties
The calculation puts the energy relative to the elements, uncorrected at 1.115 eV per atom. As for the crystal system: cubic. The space group is No. 225.


No. 4
An optimized crystal structure of Ga2BF2, computed with GGA-PBE.

a = 5.8380 Å, b = 5.8380 Å, c = 4.0778 Å
α = 90.00°, β = 90.00°, γ = 90.00°
Closest atoms and distances in Å follow each position.
Positions (direct):
Ga1 0.3095 0.1905 0.0000  2 F 2.04, 2 B 2.12
Ga2 0.6905 0.8095 0.0000  2 F 2.04, 2 B 2.12
Ga3 0.8095 0.3095 0.0000  2 F 2.04, 2 B 2.12
F1 0.6792 0.8208 0.5000  2 Ga 2.04
Ga4 0.1905 0.6905 0.0000  2 F 2.04, 2 B 2.12
B1 0.0000 0.0000 0.0000  4 Ga 2.12
F2 0.8208 0.3208 0.5000  2 Ga 2.04
F3 0.3208 0.1792 0.5000  2 Ga 2.04
B2 0.5000 0.5000 0.0000  4 Ga 2.12
F4 0.1792 0.6792 0.5000  2 Ga 2.04

Properties
The calculation puts the energy relative to the elements, uncorrected at -0.785 eV per atom. As for the crystal system: tetragonal. The space group is No. 127.


Asked for distance to the lowest polymorph of the same formula across the records above, the calculation gives 303; 489; 351; 0 meV per atom in order.
Asked for uncorrected energy across the records above, the calculation gives -3.78; -3.71; -3.45; -4.08 eV per atom in order.
Asked for total magnetization across the records above, the calculation gives 0.0; 1.3; 0.0; 0.0 μB per cell in order.